The following is a GGA-PBE calculation of a relaxed structure of Li3AgBi, from Alexandria via LeMat-Bulk.

## Properties
Spin magnetization (Bohr magnetons per cell): 0.0
Distance to the lowest polymorph of the same formula (meV/atom): 64
ΔE_f (eV/atom): -0.188
E_tot (eV per atom): -2.683

CIF file:
```
data_Li3AgBi
_chemical_formula_sum 'Li12 Ag4 Bi4'
_space_group_name_H-M_alt 'I m a 2'
_space_group_IT_number 46
_space_group_name_Hall 'I 2 -2a'
_cell_length_a 9.792
_cell_length_b 7.403
_cell_length_c 6.109
_cell_angle_alpha 90.00
_cell_angle_beta 90.00
_cell_angle_gamma 90.00
loop_
_atom_site_label
_atom_site_type_symbol
_atom_site_fract_x
_atom_site_fract_y
_atom_site_fract_z
Li1 Li 0.021 0.249 0.000
Li2 Li 0.250 0.048 0.748
Ag1 Ag 0.250 0.750 0.498
Bi1 Bi 0.250 0.070 0.249
```

---

The following is a GGA-PBE calculation of a relaxed structure of LiAgBi2, from Alexandria via LeMat-Bulk.

## Properties
Spin magnetization (Bohr magnetons per cell): 0.0
Distance to the lowest polymorph of the same formula (meV/atom): 62
ΔE_f (eV/atom): -0.075
E_tot (eV per atom): -3.207

CIF file:
```
data_LiAgBi2
_chemical_formula_sum 'Li3 Ag3 Bi6'
_space_group_name_H-M_alt 'R 3 m'
_space_group_IT_number 160
_space_group_name_Hall 'R 3 -2"'
_cell_length_a 4.6729
_cell_length_b 4.6729
_cell_length_c 17.1926
_cell_angle_alpha 90.00
_cell_angle_beta 90.00
_cell_angle_gamma 120.00
loop_
_atom_site_label
_atom_site_type_symbol
_atom_site_fract_x
_atom_site_fract_y
_atom_site_fract_z
Li1 Li 0.0000 0.0000 0.0000
Ag1 Ag 0.0000 0.0000 0.1709
Bi1 Bi 0.0000 0.0000 0.5812
Bi2 Bi 0.0000 0.0000 0.7610
```

---

The following is a GGA-PBE calculation of a relaxed structure of Li2AgBi2, from Alexandria via LeMat-Bulk.

## Properties
Spin magnetization (Bohr magnetons per cell): 0.0
Distance to the lowest polymorph of the same formula (meV/atom): 66
ΔE_f (eV/atom): -0.174
E_tot (eV per atom): -3.062

CIF file:
```
data_Li2AgBi2
_chemical_formula_sum 'Li4 Ag2 Bi4'
_space_group_name_H-M_alt 'P 4/m b m'
_space_group_IT_number 127
_space_group_name_Hall '-P 4 2ab'
_cell_length_a 8.154
_cell_length_b 8.154
_cell_length_c 3.347
_cell_angle_alpha 90.00
_cell_angle_beta 90.00
_cell_angle_gamma 90.00
loop_
_atom_site_label
_atom_site_type_symbol
_atom_site_fract_x
_atom_site_fract_y
_atom_site_fract_z
Li1 Li 0.116 0.384 0.000
Ag1 Ag 0.000 0.000 0.000
Bi1 Bi 0.185 0.685 0.500
```

---

The following is a GGA-PBE calculation of a relaxed structure of LiAg4Bi, from Alexandria via LeMat-Bulk.

## Properties
Spin magnetization (Bohr magnetons per cell): 0.0
Distance to the lowest polymorph of the same formula (meV/atom): 0
ΔE_f (eV/atom): -0.072
E_tot (eV per atom): -2.939

CIF file:
```
data_LiAg4Bi
_chemical_formula_sum 'Li4 Ag16 Bi4'
_space_group_name_H-M_alt 'F -4 3 m'
_space_group_IT_number 216
_space_group_name_Hall 'F -4 2 3'
_cell_length_a 7.932
_cell_length_b 7.932
_cell_length_c 7.932
_cell_angle_alpha 90.00
_cell_angle_beta 90.00
_cell_angle_gamma 90.00
loop_
_atom_site_label
_atom_site_type_symbol
_atom_site_fract_x
_atom_site_fract_y
_atom_site_fract_z
Li1 Li 0.000 0.000 0.000
Ag1 Ag 0.126 0.126 0.626
Bi1 Bi 0.250 0.250 0.250
```

---

The following is a GGA-PBE calculation of a relaxed structure of Li5Ag2Bi4, from Alexandria via LeMat-Bulk.

## Properties
Spin magnetization (Bohr magnetons per cell): 0.0
ΔE_f (eV/atom): -0.125
E_tot (eV per atom): -2.925

CIF file:
```
data_Li5Ag2Bi4
_chemical_formula_sum 'Li10 Ag4 Bi8'
_space_group_name_H-M_alt 'C 1 2/m 1'
_space_group_IT_number 12
_space_group_name_Hall '-C 2y'
_cell_length_a 23.602
_cell_length_b 3.302
_cell_length_c 6.916
_cell_angle_alpha 90.00
_cell_angle_beta 103.96
_cell_angle_gamma 90.00
loop_
_atom_site_label
_atom_site_type_symbol
_atom_site_fract_x
_atom_site_fract_y
_atom_site_fract_z
Li1 Li 0.000 0.000 0.000
Li2 Li 0.111 0.500 0.139
Li3 Li 0.194 0.500 0.865
Ag1 Ag 0.230 0.500 0.303
Bi1 Bi 0.049 0.500 0.725
Bi2 Bi 0.142 0.000 0.491
```

---

The following is a GGA-PBE calculation of a relaxed structure of Li8AgBi2, from Alexandria via LeMat-Bulk.

## Properties
Spin magnetization (Bohr magnetons per cell): 0.0
ΔE_f (eV/atom): -0.383
E_tot (eV per atom): -2.740

CIF file:
```
data_Li8AgBi2
_chemical_formula_sum 'Li16 Ag2 Bi4'
_space_group_name_H-M_alt 'I m m m'
_space_group_IT_number 71
_space_group_name_Hall '-I 2 2'
_cell_length_a 4.794
_cell_length_b 6.483
_cell_length_c 13.955
_cell_angle_alpha 90.00
_cell_angle_beta 90.00
_cell_angle_gamma 90.00
loop_
_atom_site_label
_atom_site_type_symbol
_atom_site_fract_x
_atom_site_fract_y
_atom_site_fract_z
Li1 Li 0.000 0.000 0.175
Li2 Li 0.000 0.238 0.348
Li3 Li 0.000 0.255 0.000
Ag1 Ag 0.000 0.500 0.500
Bi1 Bi 0.000 0.500 0.175
```

---

The following is a GGA-PBE calculation of a relaxed structure of LiAgBi2, from Alexandria via LeMat-Bulk.

## Properties
Spin magnetization (Bohr magnetons per cell): 0.0
Distance to the lowest polymorph of the same formula (meV/atom): 84
ΔE_f (eV/atom): -0.053
E_tot (eV per atom): -3.184

CIF file:
```
data_LiAgBi2
_chemical_formula_sum 'Li4 Ag4 Bi8'
_space_group_name_H-M_alt 'I -4 2 d'
_space_group_IT_number 122
_space_group_name_Hall 'I -4 2bw'
_cell_length_a 4.737
_cell_length_b 4.737
_cell_length_c 19.256
_cell_angle_alpha 90.00
_cell_angle_beta 90.00
_cell_angle_gamma 90.00
loop_
_atom_site_label
_atom_site_type_symbol
_atom_site_fract_x
_atom_site_fract_y
_atom_site_fract_z
Li1 Li 0.000 0.000 0.000
Ag1 Ag 0.000 0.000 0.500
Bi1 Bi 0.233 0.250 0.125
```

---

The following is a GGA-PBE calculation of a relaxed structure of LiMgAgBi, from Alexandria via LeMat-Bulk.

## Properties
Spin magnetization (Bohr magnetons per cell): 0.0
ΔE_f (eV/atom): -0.228
E_tot (eV per atom): -2.788

CIF file:
```
data_LiMgAgBi
_chemical_formula_sum 'Li2 Mg2 Ag2 Bi2'
_space_group_name_H-M_alt 'C 1 m 1'
_space_group_IT_number 8
_space_group_name_Hall 'C -2y'
_cell_length_a 9.086
_cell_length_b 4.686
_cell_length_c 4.686
_cell_angle_alpha 90.00
_cell_angle_beta 120.75
_cell_angle_gamma 90.00
loop_
_atom_site_label
_atom_site_type_symbol
_atom_site_fract_x
_atom_site_fract_y
_atom_site_fract_z
Li1 Li 0.000 0.000 0.000
Mg1 Mg 0.000 0.500 0.499
Ag1 Ag 0.250 0.500 0.250
Bi1 Bi 0.250 0.000 0.751
```